# 1
LiPm3Nd4Se8 | PBE | relaxed

a = 8.385 Å, b = 8.390 Å, c = 8.385 Å
α = 119.98°, β = 120.00°, γ = 90.00°
Atoms (fractional coordinates):
Pm1 0.000 0.500 0.500
Nd1 0.500 0.000 0.000
Se1 0.758 0.260 0.002
Pm2 0.500 0.500 0.000
Se2 0.251 0.253 0.502
Se3 0.758 0.259 0.515
Li1 0.000 0.500 0.000
Se4 0.242 0.741 0.485
Se5 0.242 0.740 0.998
Se6 0.749 0.747 0.498
Se7 0.244 0.260 0.002
Se8 0.756 0.740 0.998
Nd2 0.500 0.000 0.500
Nd3 0.000 0.000 0.000
Pm3 0.500 0.500 0.500
Nd4 0.000 0.000 0.500

Summary:
Formation energy (no corrections) ... -1.800 eV/atom

***

# 2
TmUP2 | PBE | relaxed

a = 3.836 Å, b = 3.836 Å, c = 7.281 Å
α = 74.73°, β = 74.73°, γ = 60.00°
Last column: magnetic moment on the atom in μB.
Atoms (fractional coordinates):
P1 0.081 0.081 0.756  -0.06
P2 0.252 0.252 0.245  -0.06
Tm1 0.669 0.669 0.992  0.06
U1 0.498 0.498 0.507  2.37

Summary:
Formation energy ... -431.6 kJ/mol of formula units

***

# 3
Cs2CoCu2Cl6 | PBE | relaxed

a = 7.253 Å, b = 7.255 Å, c = 7.638 Å
α = 114.86°, β = 90.00°, γ = 119.99°
Last column: magnetic moment on the atom in μB.
Atoms (fractional coordinates):
Cl1 0.268 0.536 0.299  0.04
Cu1 0.083 0.165 0.277  0.10
Cl2 0.741 0.017 0.739  0.05
Cs1 0.274 0.547 0.810  0.00
Cl3 0.259 0.983 0.261  0.05
Cl4 0.732 0.464 0.701  0.04
Cu2 0.917 0.835 0.723  0.10
Cl5 0.276 0.017 0.739  0.05
Cs2 0.726 0.453 0.190  0.00
Cl6 0.724 0.983 0.261  0.05
Co1 0.500 0.000 0.500  2.42

Summary:
Formation energy (no corrections) ... -1.027 eV/atom

***

# 4
Be2ReIr | PBE | relaxed

a = 3.801 Å, b = 2.761 Å, c = 4.470 Å
α = 72.09°, β = 90.00°, γ = 90.00°
Atoms (fractional coordinates):
Ir1 0.000 0.477 0.421
Re1 0.500 0.776 0.823
Be1 0.500 0.049 0.279
Be2 0.000 0.199 0.977

Summary:
Formation energy ... -96.9 kJ/mol of formula units

***

# 5
Ac12PdRu4 | PBE | relaxed

a = 9.642 Å, b = 9.642 Å, c = 9.642 Å
α = 109.32°, β = 109.38°, γ = 109.71°
Atoms (fractional coordinates):
Ac1 0.480 0.797 0.683
Ac2 0.692 0.875 0.183
Ac3 0.308 0.125 0.817
Ac4 0.816 0.295 0.111
Ac5 0.692 0.508 0.817
Ac6 0.520 0.203 0.317
Ac7 0.114 0.797 0.317
Ac8 0.184 0.705 0.889
Ac9 0.816 0.705 0.522
Ru1 0.500 0.000 0.000
Ac10 0.886 0.203 0.683
Pd1 0.000 0.500 0.500
Ru2 0.000 0.500 0.000
Ac11 0.184 0.295 0.478
Ru3 0.500 0.500 0.500
Ac12 0.308 0.492 0.183
Ru4 0.000 0.000 0.500

Summary:
Formation energy ... -190.7 kJ/mol of formula units

***

# 6
Sr4LiEr3Se8 | PBE | relaxed

a = 8.414 Å, b = 8.488 Å, c = 8.414 Å
α = 119.71°, β = 120.00°, γ = 90.00°
Atoms (fractional coordinates):
Se1 0.758 0.275 0.516
Sr1 0.000 0.000 0.500
Sr2 0.500 0.000 0.500
Er1 0.000 0.500 0.500
Se2 0.242 0.725 0.484
Li1 0.000 0.500 0.000
Sr3 0.500 0.000 0.000
Se3 0.260 0.275 0.018
Se4 0.758 0.275 0.018
Se5 0.242 0.725 0.982
Er2 0.500 0.500 0.500
Se6 0.740 0.725 0.982
Sr4 0.000 0.000 0.000
Er3 0.500 0.500 0.000
Se7 0.742 0.727 0.485
Se8 0.258 0.273 0.515

Summary:
Formation energy (no corrections) ... -1.858 eV/atom

***

# 7
Pm2NiBPt6 | PBE | relaxed

a = 5.642 Å, b = 7.301 Å, c = 7.302 Å
α = 45.46°, β = 67.27°, γ = 90.00°
Atoms (fractional coordinates):
Pt1 0.737 0.263 0.045
B1 0.500 0.500 0.000
Pm1 0.708 0.292 0.583
Ni1 0.000 0.000 0.000
Pm2 0.292 0.708 0.417
Pt2 0.263 0.737 0.955
Pt3 0.782 0.737 0.955
Pt4 0.263 0.218 0.475
Pt5 0.737 0.782 0.525
Pt6 0.218 0.263 0.045

Summary:
Formation energy ... -746.1 kJ/mol of formula units

***

# 8
SmSnH6Ir2 | PBE | relaxed

a = 7.206 Å, b = 7.206 Å, c = 5.700 Å
α = 102.26°, β = 102.26°, γ = 117.17°
Atoms (fractional coordinates):
H1 0.178 0.225 0.574
H2 0.468 0.358 0.914
H3 0.091 0.451 0.135
Sm1 0.889 0.111 0.750
H4 0.775 0.822 0.926
Sm2 0.111 0.889 0.250
Ir1 0.908 0.675 0.646
Ir2 0.325 0.092 0.854
H5 0.549 0.909 0.365
Ir3 0.675 0.908 0.146
Ir4 0.092 0.325 0.354
H6 0.532 0.642 0.086
H7 0.642 0.532 0.586
Sn1 0.304 0.696 0.750
H8 0.822 0.775 0.426
H9 0.451 0.091 0.635
H10 0.909 0.549 0.865
H11 0.225 0.178 0.074
H12 0.358 0.468 0.414
Sn2 0.696 0.304 0.250

Summary:
Energy ... -4.9078 eV/atom

***

# 9
Tm5CuPd4 | PBE | relaxed

a = 3.447 Å, b = 3.447 Å, c = 17.392 Å
α = 90.00°, β = 90.00°, γ = 90.00°
Atoms (fractional coordinates):
Tm1 0.500 0.500 0.299
Tm2 0.500 0.500 0.901
Tm3 0.500 0.500 0.099
Cu1 0.000 0.000 0.000
Pd1 0.000 0.000 0.399
Pd2 0.000 0.000 0.802
Tm4 0.500 0.500 0.701
Pd3 0.000 0.000 0.601
Tm5 0.500 0.500 0.500
Pd4 0.000 0.000 0.198

Summary:
Formation energy ... -777.8 kJ/mol of formula units

***

# 10
AcPmTh2As4 | PBE | relaxed

a = 4.320 Å, b = 7.494 Å, c = 7.482 Å
α = 70.53°, β = 90.00°, γ = 90.00°
Atoms (fractional coordinates):
As1 0.000 0.763 0.739
As2 0.000 0.237 0.261
Th1 0.000 0.000 0.000
Th2 0.500 0.000 0.500
Ac1 0.500 0.500 0.000
Pm1 0.000 0.500 0.500
As3 0.500 0.242 0.746
As4 0.500 0.758 0.254

Summary:
Formation energy ... -1114.1 kJ/mol of formula units

***

# 11
Zr2Sb | PBE | relaxed

a = 15.043 Å, b = 15.043 Å, c = 15.043 Å
α = 163.63°, β = 163.63°, γ = 23.23°
Atoms (fractional coordinates):
Zr1 0.249 0.249 0.000
Sb1 0.075 0.075 0.000
Zr2 0.414 0.414 0.000
Zr3 0.751 0.751 0.000
Zr4 0.664 0.164 0.500
Sb2 0.325 0.825 0.500
Sb3 0.925 0.925 0.000
Zr5 0.499 0.999 0.500
Zr6 0.836 0.336 0.500
Zr7 0.001 0.501 0.500
Sb4 0.175 0.675 0.500
Zr8 0.586 0.586 0.000

Summary:
Formation energy (no corrections) ... -0.527 eV/atom

***

# 12
TaCdGaGe2 | PBE | relaxed

a = 5.012 Å, b = 5.499 Å, c = 5.012 Å
α = 90.00°, β = 90.00°, γ = 90.00°
Atoms (fractional coordinates):
Ge1 0.500 0.000 0.000
Cd1 0.000 0.500 0.000
Ga1 0.500 0.500 0.500
Ge2 0.000 0.000 0.500
Ta1 0.000 0.000 0.000

Summary:
Formation energy ... 262.9 kJ/mol of formula units